A.
A plane-wave DFT calculation with GGA-PBE was carried out for a relaxed Cd2InI6 crystal.

abc: 5.9175 7.6082 9.5170
angles: 102.27 90.00 112.89
Closest atoms and distances in Å follow each position.
Fractional positions:
Cd: 0.7767 0.5534 0.8334  5 I 2.80-3.05
Cd: 0.2233 0.4466 0.1666  5 I 2.80-3.05
In: 0.0000 0.0000 0.5000  2 I 3.01
I: 0.3052 0.6104 0.9110  3 Cd 2.92-3.05
I: 0.6948 0.3896 0.0890  3 Cd 2.92-3.05
I: 0.0182 0.0364 0.1913  1 Cd 2.94, 1 In 3.01
I: 0.6409 0.2819 0.5667  1 Cd 2.80
I: 0.9818 0.9636 0.8087  1 Cd 2.94, 1 In 3.01
I: 0.3591 0.7181 0.4333  1 Cd 2.80

B.
A plane-wave DFT calculation with GGA-PBE was carried out for a relaxed Cd2InI6 crystal.

abc: 7.9976 10.1167 10.1167
angles: 85.36 82.10 82.10
Closest atoms and distances in Å follow each position.
Fractional positions:
Cd: 0.1804 0.6115 0.7700  4 I 2.83-2.87
Cd: 0.3196 0.2300 0.3885  4 I 2.83-2.87
Cd: 0.8196 0.3885 0.2300  4 I 2.83-2.87
Cd: 0.6804 0.7700 0.6115  4 I 2.83-2.87
In: 0.2500 0.1170 0.8830  6 I 3.03-3.39
In: 0.7500 0.8830 0.1170  6 I 3.03-3.39
I: 0.3723 0.7126 0.5349  2 Cd 2.83-2.84
I: 0.1277 0.4651 0.2874  2 Cd 2.83-2.84
I: 0.6277 0.2874 0.4651  2 Cd 2.83-2.84
I: 0.8723 0.5349 0.7126  2 Cd 2.83-2.84
I: 0.8797 0.8785 0.3856  1 Cd 2.84, 1 In 3.03
I: 0.6203 0.6144 0.1215  1 Cd 2.84, 1 In 3.03
I: 0.1203 0.1215 0.6144  1 Cd 2.84, 1 In 3.03
I: 0.3797 0.3856 0.8785  1 Cd 2.84, 1 In 3.03
I: 0.1213 0.8116 0.9624  1 Cd 2.87, 1 In 3.18
I: 0.3787 0.0376 0.1884  1 Cd 2.87, 1 In 3.18
I: 0.8787 0.1884 0.0376  1 Cd 2.87, 1 In 3.18
I: 0.6213 0.9624 0.8116  1 Cd 2.87, 1 In 3.18

Tell me which of them is the least stable. Sure, it is A.

A.
A plane-wave DFT calculation with GGA-PBE was carried out for a relaxed CdInIO2 crystal.

abc: 4.1859 4.1859 6.2592
angles: 90.00 90.00 90.00
Closest atoms and distances in Å follow each position.
Fractional positions:
I: 0.0000 0.0000 0.5000  4 Cd 2.96, 2 In 3.13
Cd: 0.5000 0.5000 0.5000  4 I 2.96
O: 0.0000 0.5000 0.0000  2 In 2.09
O: 0.5000 0.0000 0.0000  2 In 2.09
In: 0.0000 0.0000 0.0000  4 O 2.09

B.
A plane-wave DFT calculation with GGA-PBE was carried out for a relaxed CdInIO2 crystal.

abc: 4.4196 4.4196 6.2819
angles: 90.00 90.00 90.00
Closest atoms and distances in Å follow each position.
Fractional positions:
I: 0.0000 0.0000 0.5000  4 In 3.13, 2 Cd 3.14
Cd: 0.0000 0.0000 0.0000  4 O 2.21
O: 0.0000 0.5000 0.0000  2 Cd 2.21
O: 0.5000 0.0000 0.0000  2 Cd 2.21
In: 0.5000 0.5000 0.5000  4 I 3.13

Tell me which of them is the least stable. Sure, it is B.

A.
A plane-wave DFT calculation with GGA-PBE was carried out for a relaxed CdInI2O crystal.

abc: 6.1190 6.1190 4.2357
angles: 90.00 90.00 90.00
Closest atoms and distances in Å follow each position.
Fractional positions:
I: 0.0000 0.5000 0.0000  2 Cd 3.06
I: 0.5000 0.0000 0.0000  2 Cd 3.06
Cd: 0.0000 0.0000 0.0000  2 O 2.12
O: 0.0000 0.0000 0.5000  2 Cd 2.12
In: 0.5000 0.5000 0.5000  8 I 3.72

B.
A plane-wave DFT calculation with GGA-PBE was carried out for a relaxed CdInI2O crystal.

abc: 6.0928 6.0928 3.9841
angles: 90.00 90.00 90.00
Closest atoms and distances in Å follow each position.
Fractional positions:
I: 0.0000 0.5000 0.0000  2 In 3.05
I: 0.5000 0.0000 0.0000  2 In 3.05
Cd: 0.5000 0.5000 0.5000  8 I 3.64, 2 Cd 3.98
O: 0.0000 0.0000 0.5000  2 In 1.99
In: 0.0000 0.0000 0.0000  2 O 1.99

Tell me which of them is the least stable. Sure, it is A.